Here is crystalline RbCr2SiO8 at its relaxed geometry from Alexandria. Energies are from PBE with a Hubbard U.

a b c (Å): 5.053 5.053 8.181
angles (deg): 94.35 94.35 63.59
Sites, in units of the cell vectors:
Rb 0.000 0.000 0.000
Cr 0.369 0.369 0.688
Cr 0.631 0.631 0.312
Si 0.000 0.000 0.500
O 0.204 0.204 0.555
O 0.210 0.742 0.654
O 0.258 0.790 0.346
O 0.322 0.322 0.877
O 0.678 0.678 0.123
O 0.742 0.210 0.654
O 0.790 0.258 0.346
O 0.796 0.796 0.445

Results
D(E_F): 2.66 states/eV/cell
symmetry: No. 12
calculated total energy: -6.732 eV/atom
calculated density: 3.08 g/cm³

***

Here is crystalline Rb2Sm2CrO6 at its relaxed geometry from Alexandria. Energies are from PBE with a Hubbard U.

a b c (Å): 5.831 5.831 6.890
angles (deg): 97.59 97.59 119.00
Sites, in units of the cell vectors:
Rb 0.163 0.837 0.000
Rb 0.837 0.163 0.000
Sm 0.336 0.664 0.500
Sm 0.664 0.336 0.500
Cr 0.000 0.000 0.500
O 0.046 0.336 0.660
O 0.244 0.244 0.332
O 0.336 0.046 0.660
O 0.664 0.954 0.340
O 0.756 0.756 0.668
O 0.954 0.664 0.340

Results
symmetry: No. 12
calculated total energy: -6.709 eV/atom
calculated density: 5.20 g/cm³